## Ce2Pu2Ni15 (PBE)

Data for a geometry-optimized Ce2Pu2Ni15 structure.

Energy of formation in kJ/mol of formula units: -344
Magnetization in μB per atom: 0.448
Calculated total energy in eV/atom: -6.885

a b c (Å): 6.4636 6.4636 6.4636
angles (deg): 82.74 82.74 82.74
Fractional coordinates of all 19 atoms:
Ce 0.1133 0.1133 0.1133
Ce 0.8867 0.8867 0.8867
Pu 0.3587 0.3587 0.3587
Pu 0.6413 0.6413 0.6413
Ni 0.0000 0.0000 0.5000
Ni 0.0000 0.3207 0.6793
Ni 0.0000 0.5000 0.0000
Ni 0.0000 0.6793 0.3207
Ni 0.1721 0.6546 0.6546
Ni 0.3207 0.0000 0.6793
Ni 0.3207 0.6793 0.0000
Ni 0.3454 0.3454 0.8279
Ni 0.3454 0.8279 0.3454
Ni 0.5000 0.0000 0.0000
Ni 0.6546 0.1721 0.6546
Ni 0.6546 0.6546 0.1721
Ni 0.6793 0.0000 0.3207
Ni 0.6793 0.3207 0.0000
Ni 0.8279 0.3454 0.3454